(1)
A geometry-optimized Y3ErPu3Te8 structure. Source: the Alexandria database, functional PBE.

Computed properties:
The value obtained for the total magnetization is 5.9 μB per cell. As for the energy: -7.41 eV per atom. The formation energy from raw total energies is -1.271 eV/atom. For the density of states at the Fermi level, the calculation gives 41.0 states/eV/f.u. Its space-group type is C2/m (12).

Cell and atoms, written as POSCAR:
```
Y3ErPu3Te8
1.0
-3.244 8.029 1.315
-2.676 -6.682 5.022
8.156 3.156 0.861
Er Y Te Pu
1 3 8 3
Direct
0.000 0.000 0.500
0.500 0.000 0.500
0.500 0.500 0.500
0.000 0.500 0.500
0.749 0.497 0.746
0.255 0.005 0.253
0.251 0.502 0.748
0.251 0.995 0.747
0.749 0.005 0.253
0.251 0.503 0.254
0.745 0.995 0.747
0.749 0.498 0.252
0.000 0.500 0.000
0.500 0.500 0.000
0.000 0.000 0.000
```

***

(2)
A geometry-optimized PrEr2Cd2 structure. Source: the Alexandria database, functional PBE.

Computed properties:
The value obtained for the total magnetization is 0.0 μB per cell. As for the energy: -3.39 eV per atom. For the density of states at the Fermi level, the calculation gives 5.1 states/eV/f.u. Its polymorph energy (0 for the lowest one) is 0.000 eV/atom. Its space-group type is P2_1/m (11).

Cell and atoms, written as POSCAR:
```
PrEr2Cd2
1.0
-3.446 -1.259 -0.699
-0.846 -0.642 5.323
-3.149 13.542 1.134
Pr Er Cd
2 4 4
Direct
0.149 0.250 0.296
0.851 0.750 0.704
0.047 0.750 0.093
0.953 0.250 0.907
0.764 0.250 0.527
0.236 0.750 0.473
0.642 0.750 0.283
0.453 0.750 0.906
0.358 0.250 0.717
0.547 0.250 0.094
```

***

(3)
A geometry-optimized Sc2Be17 structure. Source: the Alexandria database, functional PBE.

Computed properties:
The value obtained for the total magnetization is 0.0 μB per cell. As for the energy: -4.19 eV per atom. For the density of states at the Fermi level, the calculation gives 3.9 states/eV/f.u. Its space-group type is R-3m (166).

Cell and atoms, written as POSCAR:
```
Sc2Be17
1.0
-1.964 -5.320 -0.192
3.615 -1.932 -3.925
3.773 -2.261 3.586
Be Sc
17 2
Direct
0.658 0.157 0.658
0.000 0.000 0.500
0.500 0.000 0.000
0.903 0.903 0.903
0.342 0.843 0.342
0.342 0.342 0.843
0.712 0.000 0.288
0.000 0.712 0.288
0.288 0.712 0.000
0.097 0.097 0.097
0.288 0.000 0.712
0.000 0.500 0.000
0.000 0.288 0.712
0.157 0.658 0.658
0.843 0.342 0.342
0.712 0.288 0.000
0.658 0.658 0.157
0.338 0.338 0.338
0.662 0.662 0.662
```

***

(4)
A geometry-optimized LaBeNi2 structure. Source: the Alexandria database, functional PBE.

Computed properties:
The value obtained for the total magnetization is 0.0 μB per cell. As for the energy: -4.80 eV per atom. For the density of states at the Fermi level, the calculation gives 4.2 states/eV/f.u. Its space-group type is F-43m (216).

Cell and atoms, written as POSCAR:
```
LaBeNi2
1.0
4.528 0.000 0.000
2.264 3.921 0.000
2.264 1.307 3.697
Be Ni La
1 2 1
Direct
0.500 0.500 0.500
0.000 0.000 0.000
0.750 0.750 0.750
0.250 0.250 0.250
```

***

(5)
A geometry-optimized TaTe3Ir structure. Source: the Alexandria database, functional PBE.

Computed properties:
The value obtained for the total magnetization is 0.0 μB per cell. As for the energy: -4.92 eV per atom. The formation energy from raw total energies is 1.110 eV/atom. For the density of states at the Fermi level, the calculation gives 4.7 states/eV/f.u. Its polymorph energy (0 for the lowest one) is 0.000 eV/atom. Its space-group type is Pm-3m (221).

Cell and atoms, written as POSCAR:
```
TaTe3Ir
1.0
5.137 0.000 0.000
0.000 5.137 0.000
0.000 0.000 5.137
Te Ta Ir
3 1 1
Direct
0.000 0.500 0.000
0.500 0.000 0.000
0.000 0.000 0.500
0.500 0.500 0.500
0.000 0.000 0.000
```

***

(6)
A geometry-optimized BaPS2F structure. Source: the Alexandria database, functional PBE.

Computed properties:
The value obtained for the total magnetization is 0.8 μB per cell. As for the energy: -2.87 eV per atom. The formation energy from raw total energies is 0.621 eV/atom. For the density of states at the Fermi level, the calculation gives 12.0 states/eV/f.u. Its polymorph energy (0 for the lowest one) is 1.067 eV/atom. Its space-group type is P4/mmm (123).

Cell and atoms, written as POSCAR:
```
BaPS2F
1.0
6.226 0.000 0.000
0.000 6.226 0.000
0.000 0.000 6.500
F S P Ba
1 2 1 1
Direct
0.500 0.500 0.500
0.000 0.500 0.000
0.500 0.000 0.000
0.000 0.000 0.500
0.000 0.000 0.000
```

***

(7)
A geometry-optimized K3TlIn2Cl6 structure. Source: the Alexandria database, functional PBE.

Computed properties:
The value obtained for the total magnetization is 0.0 μB per cell. As for the energy: -3.26 eV per atom. The formation energy from raw total energies is -1.411 eV/atom. For the density of states at the Fermi level, the calculation gives 0.0 states/eV/f.u. Its space-group type is C2/m (12).

Cell and atoms, written as POSCAR:
```
K3TlIn2Cl6
1.0
-2.418 3.724 0.962
-3.231 -4.033 7.487
9.439 2.657 2.710
Cl In K Tl
6 2 3 1
Direct
0.666 0.586 0.331
0.331 0.921 0.662
0.002 0.745 0.004
0.334 0.414 0.669
0.998 0.255 0.996
0.669 0.079 0.338
0.167 0.333 0.334
0.833 0.667 0.666
0.167 0.833 0.334
0.500 0.500 0.000
0.833 0.167 0.666
0.500 0.000 0.000
```

***

(8)
A geometry-optimized Nd2HoNi2 structure. Source: the Alexandria database, functional PBE.

Computed properties:
The value obtained for the total magnetization is 0.0 μB per cell. As for the energy: -5.42 eV per atom. For the density of states at the Fermi level, the calculation gives 4.5 states/eV/f.u. Its polymorph energy (0 for the lowest one) is 0.000 eV/atom. Its space-group type is C2/m (12).

Cell and atoms, written as POSCAR:
```
Nd2HoNi2
1.0
-1.726 -2.079 2.682
4.785 -3.413 3.137
1.062 5.981 8.023
Nd Ho Ni
4 2 4
Direct
0.456 0.397 0.691
0.339 0.251 0.070
0.661 0.749 0.930
0.544 0.603 0.309
0.793 0.053 0.360
0.207 0.947 0.640
0.115 0.317 0.454
0.997 0.122 0.885
0.885 0.683 0.546
0.003 0.878 0.115
```

***

What did the fourth record say?
A geometry-optimized LaBeNi2 structure. Source: the Alexandria database, functional PBE.

Computed properties:
The value obtained for the total magnetization is 0.0 μB per cell. As for the energy: -4.80 eV per atom. For the density of states at the Fermi level, the calculation gives 4.2 states/eV/f.u. Its space-group type is F-43m (216).

Cell and atoms, written as POSCAR:
```
LaBeNi2
1.0
4.528 0.000 0.000
2.264 3.921 0.000
2.264 1.307 3.697
Be Ni La
1 2 1
Direct
0.500 0.500 0.500
0.000 0.000 0.000
0.750 0.750 0.750
0.250 0.250 0.250
```

***

> Among the records above, which one has the highest total magnetization?

Y3ErPu3Te8

***

> Which of these has the lowest energy?

Y3ErPu3Te8